Material: VReW2
Method: DFT, GGA-PBE
State: optimized geometry

```
16
Lattice="5.112 0.000 0.000 0.000 8.982 0.000 0.000 0.000 5.487" Properties=species:S:1:pos:R:3 pbc="T T T"
W 1.278 0.000 4.557
W 1.278 4.491 4.557
W 3.834 2.246 5.083
W 3.834 6.737 5.083
W 3.834 4.491 0.930
W 1.278 6.737 0.404
W 1.278 2.246 0.404
W 3.834 0.000 0.930
V 1.278 0.000 1.962
V 3.834 4.491 3.525
V 1.278 4.491 1.962
V 3.834 0.000 3.525
Re 0.000 6.737 2.744
Re 0.000 2.246 2.744
Re 2.556 6.737 2.744
Re 2.556 2.246 2.744
```

Summary:
Its crystal system is orthorhombic. For the density of states at the Fermi level, the calculation gives 10.93 states/eV per cell. As for the space group: Pmma, No. 51. Its energy is -185.31 eV per cell. The energy relative to the lowest polymorph listed for this composition comes out at 0.423 eV per atom.